No. 1
{
  "formula": "BePtAu",
  "functional": "PBEsol",
  "state": "relaxed",
  "space_group": "No. 216",
  "formation_energy_ev_per_fu": 1.14,
  "rho_g_cm3": 13.1,
  "e_above_lowest_polymorph_ev_per_atom": 0.5827,
  "lattice_angstrom": [[4.156, 0.000, 0.000], [2.078, 3.600, 0.000], [2.078, 1.200, 3.394]],
  "species": ["Be", "Au", "Pt"],
  "frac_coords": [[0.000, 0.000, 0.000], [0.250, 0.250, 0.250], [0.500, 0.500, 0.500]]
}



No. 2
{
  "formula": "BePt2Au",
  "functional": "PBEsol",
  "state": "relaxed",
  "space_group": "No. 71",
  "formation_energy_ev_per_fu": -1.15,
  "rho_g_cm3": 17.9,
  "lattice_angstrom": [[-1.791, -0.468, 2.070], [-2.509, -2.475, -2.731], [4.458, -2.164, 1.505]],
  "species": ["Be", "Au", "Pt", "Pt"],
  "frac_coords": [[0.000, 0.500, 0.000], [0.500, 0.000, 0.000], [0.704, 0.704, 0.408], [0.296, 0.296, 0.592]]
}



No. 3
{
  "formula": "BePtAu",
  "functional": "PBEsol",
  "state": "relaxed",
  "space_group": "No. 156",
  "formation_energy_ev_per_fu": -0.61,
  "rho_g_cm3": 16.0,
  "e_above_lowest_polymorph_ev_per_atom": 0.0000,
  "lattice_angstrom": [[2.938, 0.000, 0.000], [0.000, 4.042, 0.000], [0.000, -2.021, 3.500]],
  "species": ["Be", "Au", "Pt"],
  "frac_coords": [[0.569, 0.333, 0.667], [0.965, 0.000, 0.000], [0.465, 0.667, 0.333]]
}



No. 4
{
  "formula": "BePt2Au",
  "functional": "PBEsol",
  "state": "relaxed",
  "space_group": "No. 123",
  "formation_energy_ev_per_fu": -1.62,
  "rho_g_cm3": 18.2,
  "lattice_angstrom": [[2.778, 0.000, 0.000], [0.000, 2.778, 0.000], [0.000, 0.000, 7.050]],
  "species": ["Be", "Au", "Pt", "Pt"],
  "frac_coords": [[0.500, 0.500, 0.500], [0.500, 0.500, 0.000], [0.000, 0.000, 0.699], [0.000, 0.000, 0.301]]
}



No. 5
{
  "formula": "Be2PtAu",
  "functional": "PBEsol",
  "state": "relaxed",
  "space_group": "No. 12",
  "formation_energy_ev_per_fu": -0.87,
  "rho_g_cm3": 13.5,
  "lattice_angstrom": [[-2.755, 0.103, 0.414], [0.801, -1.236, -3.747], [0.219, -4.214, 2.508]],
  "species": ["Be", "Be", "Au", "Pt"],
  "frac_coords": [[0.754, 0.509, 0.788], [0.246, 0.491, 0.212], [0.000, 0.000, 0.500], [0.500, 0.000, 0.000]]
}



No. 6
{
  "formula": "Be2PtAu",
  "functional": "PBEsol",
  "state": "relaxed",
  "space_group": "No. 38",
  "formation_energy_ev_per_fu": -1.70,
  "rho_g_cm3": 14.3,
  "lattice_angstrom": [[-2.417, -0.604, 1.226], [-1.567, -0.673, -3.422], [2.429, -4.001, -0.326]],
  "species": ["Be", "Be", "Au", "Pt"],
  "frac_coords": [[0.199, 0.000, 0.398], [0.048, 0.500, 0.096], [0.778, 0.500, 0.556], [0.480, 0.000, 0.960]]
}



No. 7
{
  "formula": "BePt2Au",
  "functional": "PBEsol",
  "state": "relaxed",
  "space_group": "No. 38",
  "formation_energy_ev_per_fu": -0.92,
  "rho_g_cm3": 17.5,
  "lattice_angstrom": [[2.764, 0.000, 0.000], [0.000, 3.586, 0.000], [-1.382, 0.000, 5.701]],
  "species": ["Be", "Au", "Pt", "Pt"],
  "frac_coords": [[0.528, 0.500, 0.055], [0.677, 0.000, 0.354], [0.962, 0.000, 0.923], [0.319, 0.500, 0.638]]
}



No. 8
{
  "formula": "Be2PtAu",
  "functional": "PBEsol",
  "state": "relaxed",
  "space_group": "No. 123",
  "formation_energy_ev_per_fu": -1.82,
  "rho_g_cm3": 14.3,
  "lattice_angstrom": [[2.815, 0.000, 0.000], [0.000, 2.815, 0.000], [0.000, 0.000, 6.016]],
  "species": ["Be", "Be", "Au", "Pt"],
  "frac_coords": [[0.000, 0.000, 0.768], [0.000, 0.000, 0.232], [0.500, 0.500, 0.500], [0.500, 0.500, 0.000]]
}



No. 9
{
  "formula": "BePt2Au",
  "functional": "PBEsol",
  "state": "relaxed",
  "space_group": "No. 166",
  "formation_energy_ev_per_fu": -1.35,
  "rho_g_cm3": 17.7,
  "lattice_angstrom": [[-2.693, 0.482, -0.277], [-1.773, -0.994, 1.853], [-0.684, 6.967, 5.122]],
  "species": ["Be", "Au", "Pt", "Pt"],
  "frac_coords": [[0.000, 0.000, 0.000], [0.500, 0.500, 0.500], [0.265, 0.265, 0.205], [0.735, 0.735, 0.795]]
}



No. 10
{
  "formula": "RbBeAu2",
  "functional": "PBEsol",
  "state": "relaxed",
  "space_group": "No. 141",
  "formation_energy_ev_per_fu": 0.01,
  "rho_g_cm3": 7.6,
  "lattice_angstrom": [[5.364, 0.000, 0.000], [0.000, 5.364, 0.000], [-2.682, -2.682, 7.452]],
  "species": ["Be", "Be", "Au", "Au", "Au", "Au", "Rb", "Rb"],
  "frac_coords": [[0.500, 0.500, 0.000], [0.750, 0.250, 0.500], [0.625, 0.375, 0.750], [0.125, 0.375, 0.750], [0.625, 0.875, 0.250], [0.625, 0.375, 0.250], [0.000, 0.000, 0.000], [0.250, 0.750, 0.500]]
}



No. 11
{
  "formula": "RbBeAu3",
  "functional": "PBEsol",
  "state": "relaxed",
  "space_group": "No. 221",
  "formation_energy_ev_per_fu": 10.02,
  "rho_g_cm3": 6.5,
  "lattice_angstrom": [[-5.441, -1.303, 0.386], [0.329, -2.810, -4.843], [1.319, -4.676, 2.803]],
  "species": ["Be", "Au", "Au", "Au", "Rb"],
  "frac_coords": [[0.500, 0.500, 0.500], [0.000, 0.500, 0.000], [0.000, 0.000, 0.500], [0.500, 0.000, 0.000], [0.000, 0.000, 0.000]]
}



No. 12
{
  "formula": "Rb2TaBeAu",
  "functional": "PBEsol",
  "state": "relaxed",
  "space_group": "No. 123",
  "formation_energy_ev_per_fu": 8.53,
  "rho_g_cm3": 4.2,
  "lattice_angstrom": [[-0.481, 4.938, 0.387], [-4.613, -0.073, -4.797], [-4.754, -0.822, 4.584]],
  "species": ["Be", "Au", "Rb", "Rb", "Ta"],
  "frac_coords": [[0.500, 0.500, 0.500], [0.500, 0.000, 0.000], [0.000, 0.000, 0.500], [0.000, 0.500, 0.000], [0.000, 0.000, 0.000]]
}